! HfBeCoPb (GGA-PBE, relaxed); values from VASP
! ρ = 11885 kg/m3
! Final energy = -5.92 eV per atom
! Total magnetic moment = 0.0072 μB/atom
! SG = F-43m, No. 216
&SYSTEM
  ibrav = 0, nat = 4, ntyp = 4
/
ATOMIC_SPECIES
Hf 178.49 Hf.upf
Be 9.01 Be.upf
Pb 207.20 Pb.upf
Co 58.93 Co.upf
CELL_PARAMETERS angstrom
0.0000 3.1645 3.1645
3.1645 0.0000 3.1645
3.1645 3.1645 0.0000
ATOMIC_POSITIONS crystal
Hf 0.5000 0.5000 0.5000
Be 0.2500 0.2500 0.2500
Pb 0.0000 0.0000 0.0000
Co 0.7500 0.7500 0.7500

***

! HfBeCoSn (GGA-PBE, relaxed); values from VASP
! ρ = 10143 kg/m3
! Final energy = -6.31 eV per atom
! Total magnetic moment = 0.0040 μB/atom
! SG = F-43m, No. 216
&SYSTEM
  ibrav = 0, nat = 4, ntyp = 4
/
ATOMIC_SPECIES
Co 58.93 Co.upf
Hf 178.49 Hf.upf
Sn 118.71 Sn.upf
Be 9.01 Be.upf
CELL_PARAMETERS angstrom
2.6681 -3.4578 -0.4330
-1.6797 -4.0435 -0.3029
0.1784 -2.1706 -3.8104
ATOMIC_POSITIONS crystal
Co 0.7500 0.7500 0.7500
Hf 0.5000 0.5000 0.5000
Sn 0.0000 0.0000 0.0000
Be 0.2500 0.2500 0.2500

***

! HfBeCoSn (GGA-PBE, relaxed); values from VASP
! ρ = 9636 kg/m3
! Final energy = -6.00 eV per atom
! Total magnetic moment = 0.2533 μB/atom
! SG = F-43m, No. 216
&SYSTEM
  ibrav = 0, nat = 4, ntyp = 4
/
ATOMIC_SPECIES
Sn 118.71 Sn.upf
Be 9.01 Be.upf
Hf 178.49 Hf.upf
Co 58.93 Co.upf
CELL_PARAMETERS angstrom
0.0946 3.1162 3.1957
0.2576 4.3191 -1.1007
-3.5217 2.6743 0.6151
ATOMIC_POSITIONS crystal
Sn 0.0000 0.0000 0.0000
Be 0.5000 0.5000 0.5000
Hf 0.2500 0.2500 0.2500
Co 0.7500 0.7500 0.7500

***

! YHfBeCo (GGA-PBE, relaxed); values from VASP
! ρ = 8587 kg/m3
! Final energy = -6.58 eV per atom
! Total magnetic moment = 0.0007 μB/atom
! SG = F-43m, No. 216
&SYSTEM
  ibrav = 0, nat = 4, ntyp = 4
/
ATOMIC_SPECIES
Co 58.93 Co.upf
Hf 178.49 Hf.upf
Be 9.01 Be.upf
Y 88.91 Y.upf
CELL_PARAMETERS angstrom
-0.3653 -4.0016 -2.0470
-3.4172 -2.7563 1.0305
-3.3025 -0.7115 -2.9872
ATOMIC_POSITIONS crystal
Co 0.5000 0.5000 0.5000
Hf 0.2500 0.2500 0.2500
Be 0.7500 0.7500 0.7500
Y 0.0000 0.0000 0.0000

***

! YHfBeCo (GGA-PBE, relaxed); values from VASP
! ρ = 8060 kg/m3
! Final energy = -6.84 eV per atom
! Total magnetic moment = 0.0104 μB/atom
! SG = F-43m, No. 216
&SYSTEM
  ibrav = 0, nat = 4, ntyp = 4
/
ATOMIC_SPECIES
Co 58.93 Co.upf
Hf 178.49 Hf.upf
Be 9.01 Be.upf
Y 88.91 Y.upf
CELL_PARAMETERS angstrom
0.0000 3.2568 3.2568
3.2568 0.0000 3.2568
3.2568 3.2568 0.0000
ATOMIC_POSITIONS crystal
Co 0.2500 0.2500 0.2500
Hf 0.5000 0.5000 0.5000
Be 0.7500 0.7500 0.7500
Y 0.0000 0.0000 0.0000

***

! Be2CoHg (GGA-PBE, relaxed); values from VASP
! ρ = 9397 kg/m3
! Final energy = -3.31 eV per atom
! Total magnetic moment = 0.0321 μB/atom
! SG = F-43m, No. 216
&SYSTEM
  ibrav = 0, nat = 4, ntyp = 3
/
ATOMIC_SPECIES
Be 9.01 Be.upf
Co 58.93 Co.upf
Hg 200.59 Hg.upf
CELL_PARAMETERS angstrom
-3.1465 0.7842 2.5231
-3.6181 1.1941 -1.5378
-3.2229 -2.5456 0.1173
ATOMIC_POSITIONS crystal
Be 0.0000 0.0000 0.0000
Co 0.7500 0.7500 0.7500
Be 0.2500 0.2500 0.2500
Hg 0.5000 0.5000 0.5000

***

! BeCoHgPb (GGA-PBE, relaxed); values from VASP
! ρ = 11574 kg/m3
! Final energy = -3.04 eV per atom
! Total magnetic moment = 0.0115 μB/atom
! SG = F-43m, No. 216
&SYSTEM
  ibrav = 0, nat = 4, ntyp = 4
/
ATOMIC_SPECIES
Pb 207.20 Pb.upf
Co 58.93 Co.upf
Be 9.01 Be.upf
Hg 200.59 Hg.upf
CELL_PARAMETERS angstrom
0.0000 3.2437 3.2437
3.2437 0.0000 3.2437
3.2437 3.2437 0.0000
ATOMIC_POSITIONS crystal
Pb 0.0000 0.0000 0.0000
Co 0.7500 0.7500 0.7500
Be 0.2500 0.2500 0.2500
Hg 0.5000 0.5000 0.5000

***

! BeCoSiHg (GGA-PBE, relaxed); values from VASP
! ρ = 9182 kg/m3
! Final energy = -3.68 eV per atom
! Total magnetic moment = 0.0000 μB/atom
! SG = F-43m, No. 216
&SYSTEM
  ibrav = 0, nat = 4, ntyp = 4
/
ATOMIC_SPECIES
Co 58.93 Co.upf
Be 9.01 Be.upf
Hg 200.59 Hg.upf
Si 28.09 Si.upf
CELL_PARAMETERS angstrom
-1.1686 -3.6934 -1.7069
-1.0290 -3.2564 2.5014
-4.0281 -1.2743 0.2659
ATOMIC_POSITIONS crystal
Co 0.7500 0.7500 0.7500
Be 0.2500 0.2500 0.2500
Hg 0.5000 0.5000 0.5000
Si 0.0000 0.0000 0.0000